The following is a PBE-GGA calculation of a geometry-optimized CaNi2Sn2 structure, from Alexandria.

Results
SG: No. 70
energy relative to the elements: -35.6 kJ per mole of atoms
Fermi-level density of states: 0.497 states/eV/atom
calculated volume: 212 Å³/cell

Geometry as POSCAR:
```
CaNi2Sn2
1.0
6.2696 -0.4549 0.0000
-3.3094 5.3444 0.0000
-1.4801 -2.4448 6.6095
Sn Ni Ca
4 4 2
direct
0.0562 0.9438 0.5000 Sn
0.1938 0.8062 0.0000 Sn
0.4438 0.5562 0.5000 Sn
0.8062 0.1938 0.0000 Sn
0.1520 0.6520 0.3041 Ni
0.9020 0.9020 0.8041 Ni
0.0980 0.0980 0.1959 Ni
0.3480 0.8480 0.6959 Ni
0.7500 0.2500 0.5000 Ca
0.5000 0.5000 0.0000 Ca
```